(1)
! K2Hg7Bi PBE optimized geometry; values from VASP
&SYSTEM
  ibrav = 0, nat = 10, ntyp = 3
/
ATOMIC_SPECIES
K 39.10 K.upf
Hg 200.59 Hg.upf
Bi 208.98 Bi.upf
ATOMIC_POSITIONS crystal
K 0.250 0.250 0.250
K 0.750 0.750 0.750
Hg 0.000 0.000 0.000
Hg 0.243 0.243 0.757
Hg 0.243 0.757 0.243
Hg 0.243 0.757 0.757
Hg 0.757 0.243 0.243
Hg 0.757 0.243 0.757
Hg 0.757 0.757 0.243
Bi 0.500 0.500 0.500
CELL_PARAMETERS angstrom
0.000 5.867 5.867
5.867 0.000 5.867
5.867 5.867 0.000
! E_form, meV per atom: -28
! Excess energy over the best structure of this formula in the dataset, meV per atom: 147.1

(2)
! K4Hg2Bi PBE optimized geometry; values from VASP
&SYSTEM
  ibrav = 0, nat = 7, ntyp = 3
/
ATOMIC_SPECIES
K 39.10 K.upf
Hg 200.59 Hg.upf
Bi 208.98 Bi.upf
ATOMIC_POSITIONS crystal
K 0.000 0.500 0.500
K 0.178 0.178 0.000
K 0.500 0.000 0.500
K 0.822 0.822 0.000
Hg 0.348 0.348 0.000
Hg 0.652 0.652 0.000
Bi 0.500 0.500 0.000
CELL_PARAMETERS angstrom
-3.338 3.338 9.989
3.338 -3.338 9.989
3.338 3.338 -9.989
! E_form, meV per atom: -83
! Excess energy over the best structure of this formula in the dataset, meV per atom: 175.4

(3)
! KHg4Bi PBE optimized geometry; values from VASP
&SYSTEM
  ibrav = 0, nat = 6, ntyp = 3
/
ATOMIC_SPECIES
K 39.10 K.upf
Hg 200.59 Hg.upf
Bi 208.98 Bi.upf
ATOMIC_POSITIONS crystal
K 0.000 0.000 0.000
Hg 0.126 0.625 0.625
Hg 0.625 0.126 0.625
Hg 0.625 0.625 0.126
Hg 0.625 0.625 0.625
Bi 0.250 0.250 0.250
CELL_PARAMETERS angstrom
0.000 4.439 4.439
4.439 0.000 4.439
4.439 4.439 0.000
! E_form, meV per atom: -65
! Excess energy over the best structure of this formula in the dataset, meV per atom: 28.1

(4)
! KHg2Bi2 PBE optimized geometry; values from VASP
&SYSTEM
  ibrav = 0, nat = 10, ntyp = 3
/
ATOMIC_SPECIES
K 39.10 K.upf
Hg 200.59 Hg.upf
Bi 208.98 Bi.upf
ATOMIC_POSITIONS crystal
K 0.000 0.000 0.000
K 0.500 0.500 0.000
Hg 0.152 0.348 0.000
Hg 0.348 0.848 0.000
Hg 0.652 0.152 0.000
Hg 0.848 0.652 0.000
Bi 0.143 0.643 0.500
Bi 0.357 0.143 0.500
Bi 0.643 0.857 0.500
Bi 0.857 0.357 0.500
CELL_PARAMETERS angstrom
9.176 0.000 0.000
0.000 9.176 0.000
0.000 0.000 3.716
! E_form, meV per atom: -85
! Excess energy over the best structure of this formula in the dataset, meV per atom: 91.1

(5)
! KHg2Bi PBE optimized geometry; values from VASP
&SYSTEM
  ibrav = 0, nat = 8, ntyp = 3
/
ATOMIC_SPECIES
K 39.10 K.upf
Hg 200.59 Hg.upf
Bi 208.98 Bi.upf
ATOMIC_POSITIONS crystal
K 0.000 0.000 0.000
K 0.750 0.250 0.500
Hg 0.244 0.625 0.119
Hg 0.375 0.494 0.619
Hg 0.506 0.125 0.881
Hg 0.875 0.756 0.381
Bi 0.250 0.750 0.500
Bi 0.500 0.500 0.000
CELL_PARAMETERS angstrom
-2.725 2.725 10.692
2.725 -2.725 10.692
2.725 2.725 -10.692
! E_form, meV per atom: -95

(6)
! K3Hg2Bi PBE optimized geometry; values from VASP
&SYSTEM
  ibrav = 0, nat = 24, ntyp = 3
/
ATOMIC_SPECIES
K 39.10 K.upf
Hg 200.59 Hg.upf
Bi 208.98 Bi.upf
ATOMIC_POSITIONS crystal
K 0.117 0.077 0.378
K 0.117 0.423 0.878
K 0.268 0.073 0.027
K 0.268 0.427 0.527
K 0.368 0.680 0.180
K 0.368 0.820 0.680
K 0.632 0.180 0.320
K 0.632 0.320 0.820
K 0.732 0.573 0.473
K 0.732 0.927 0.973
K 0.883 0.577 0.122
K 0.883 0.923 0.622
Hg 0.105 0.725 0.414
Hg 0.105 0.775 0.914
Hg 0.474 0.609 0.906
Hg 0.474 0.891 0.406
Hg 0.526 0.109 0.594
Hg 0.526 0.391 0.094
Hg 0.895 0.225 0.086
Hg 0.895 0.275 0.586
Bi 0.235 0.149 0.719
Bi 0.235 0.351 0.219
Bi 0.765 0.649 0.781
Bi 0.765 0.851 0.281
CELL_PARAMETERS angstrom
8.286 0.000 0.000
0.000 10.592 0.000
-2.654 0.000 11.337
! E_form, meV per atom: -312

(7)
! K2Hg7Bi PBE optimized geometry; values from VASP
&SYSTEM
  ibrav = 0, nat = 10, ntyp = 3
/
ATOMIC_SPECIES
K 39.10 K.upf
Hg 200.59 Hg.upf
Bi 208.98 Bi.upf
ATOMIC_POSITIONS crystal
K 0.000 0.500 0.248
K 0.500 0.000 0.752
Hg 0.000 0.000 0.000
Hg 0.000 0.500 0.631
Hg 0.000 0.500 0.883
Hg 0.500 0.000 0.117
Hg 0.500 0.000 0.369
Hg 0.500 0.500 0.000
Hg 0.500 0.500 0.500
Bi 0.000 0.000 0.500
CELL_PARAMETERS angstrom
5.371 0.000 0.000
0.000 5.371 0.000
0.000 0.000 11.392
! E_form, meV per atom: -175
! Excess energy over the best structure of this formula in the dataset, meV per atom: 0.0

(8)
! KHg2Bi2 PBE optimized geometry; values from VASP
&SYSTEM
  ibrav = 0, nat = 10, ntyp = 3
/
ATOMIC_SPECIES
K 39.10 K.upf
Hg 200.59 Hg.upf
Bi 208.98 Bi.upf
ATOMIC_POSITIONS crystal
K 0.142 0.217 0.250
K 0.858 0.783 0.750
Hg 0.287 0.826 0.953
Hg 0.387 0.824 0.545
Hg 0.613 0.176 0.455
Hg 0.713 0.174 0.047
Bi 0.142 0.216 0.749
Bi 0.449 0.607 0.247
Bi 0.551 0.393 0.753
Bi 0.858 0.784 0.251
CELL_PARAMETERS angstrom
6.469 0.000 0.000
3.226 6.530 0.000
2.436 -0.013 8.246
! E_form, meV per atom: -125
! Excess energy over the best structure of this formula in the dataset, meV per atom: 51.7

(9)
! KHg2Bi PBE optimized geometry; values from VASP
&SYSTEM
  ibrav = 0, nat = 4, ntyp = 3
/
ATOMIC_SPECIES
K 39.10 K.upf
Hg 200.59 Hg.upf
Bi 208.98 Bi.upf
ATOMIC_POSITIONS crystal
K 0.000 0.000 0.000
Hg 0.429 0.429 0.429
Hg 0.570 0.570 0.570
Bi 0.213 0.213 0.213
CELL_PARAMETERS angstrom
2.508 1.448 7.401
-2.508 1.448 7.401
0.000 -2.897 7.401
! E_form, meV per atom: -141

(10)
! KHg2Bi PBE optimized geometry; values from VASP
&SYSTEM
  ibrav = 0, nat = 4, ntyp = 3
/
ATOMIC_SPECIES
K 39.10 K.upf
Hg 200.59 Hg.upf
Bi 208.98 Bi.upf
ATOMIC_POSITIONS crystal
K 0.000 0.000 0.000
Hg 0.270 0.270 0.000
Hg 0.730 0.730 0.000
Bi 0.500 0.500 0.000
CELL_PARAMETERS angstrom
-1.660 3.199 6.728
1.660 -3.199 6.728
1.660 3.199 -6.728
! E_form, meV per atom: -86

(11)
! K6Hg12Bi PBE optimized geometry; values from VASP
&SYSTEM
  ibrav = 0, nat = 19, ntyp = 3
/
ATOMIC_SPECIES
K 39.10 K.upf
Hg 200.59 Hg.upf
Bi 208.98 Bi.upf
ATOMIC_POSITIONS crystal
K 0.226 0.226 0.665
K 0.226 0.665 0.226
K 0.335 0.774 0.774
K 0.665 0.226 0.226
K 0.774 0.335 0.774
K 0.774 0.774 0.335
Hg 0.052 0.606 0.607
Hg 0.065 0.066 0.347
Hg 0.066 0.347 0.065
Hg 0.347 0.065 0.066
Hg 0.393 0.948 0.394
Hg 0.394 0.393 0.948
Hg 0.606 0.607 0.052
Hg 0.607 0.052 0.606
Hg 0.653 0.935 0.934
Hg 0.934 0.653 0.935
Hg 0.935 0.934 0.653
Hg 0.948 0.394 0.393
Bi 0.000 0.000 0.000
CELL_PARAMETERS angstrom
5.984 3.455 5.552
-5.984 3.455 5.552
0.000 -6.910 5.552
! E_form, meV per atom: -217

(12)
! KHg2Bi PBE optimized geometry; values from VASP
&SYSTEM
  ibrav = 0, nat = 4, ntyp = 3
/
ATOMIC_SPECIES
K 39.10 K.upf
Hg 200.59 Hg.upf
Bi 208.98 Bi.upf
ATOMIC_POSITIONS crystal
K 0.000 0.000 0.000
Hg 0.000 0.500 0.500
Hg 0.500 0.000 0.500
Bi 0.500 0.500 0.000
CELL_PARAMETERS angstrom
5.141 0.000 0.000
0.000 5.141 0.000
0.000 0.000 4.607
! E_form, meV per atom: -97

Number 1: total moment 0.00 μB per formula unit. Number 2: total moment 0.00 μB per formula unit. Number 3: total moment 0.00 μB per formula unit. Number 4: total moment 0.00 μB per formula unit. Number 5: total moment 0.00 μB per formula unit. Number 6: total moment 0.00 μB per formula unit. Number 7: total moment 0.00 μB per formula unit. Number 8: total moment 0.00 μB per formula unit. Number 9: total moment 0.00 μB per formula unit. Number 10: total moment 0.00 μB per formula unit. Number 11: total moment 0.00 μB per formula unit. Number 12: total moment 0.00 μB per formula unit.